(1)
14
Lattice="-2.285 2.313 1.085 -0.201 -1.243 -3.188 -9.411 -11.720 5.162" Properties=species:S:1:pos:R:3 comment="GGA-PBE Al3BC3, relaxed" final_energy_ev_per_cell=-92.44 dos_ef_per_ev_cell=0.00 volume_a3_per_atom=11.55 spacegroup="No. 194" formation_enthalpy_0k_ev_per_atom=-0.0920 pbc="T T T"
Al -7.058 -8.790 3.872
Al -2.353 -2.930 1.291
Al -9.852 -9.161 4.192
Al -2.045 -1.489 -1.133
Al -4.452 -4.486 0.187
Al -7.445 -6.164 2.872
B 0.000 0.000 0.000
B -4.705 -5.860 2.581
C -8.648 -7.662 3.532
C -3.248 -2.988 -0.473
C -8.556 -10.656 4.694
C -0.854 -1.064 0.469
C -3.851 -4.796 2.112
C -5.560 -6.924 3.050

***

(2)
4
Lattice="0.000 2.757 2.757 2.757 0.000 2.757 2.757 2.757 0.000" Properties=species:S:1:pos:R:3 comment="GGA-PBE Al2BC, relaxed" final_energy_ev_per_cell=-18.86 dos_ef_per_ev_cell=1.49 volume_a3_per_atom=10.48 spacegroup="No. 225" formation_enthalpy_0k_ev_per_atom=1.1310 pbc="T T T"
C 2.757 2.757 2.757
B 0.000 0.000 0.000
Al 1.379 1.379 1.379
Al 4.136 4.136 4.136

***

(3)
5
Lattice="-3.319 -0.310 -1.161 -0.985 -1.250 3.150 -0.688 3.286 1.089" Properties=species:S:1:pos:R:3 comment="GGA-PBE AlB3C, relaxed" final_energy_ev_per_cell=-24.63 dos_ef_per_ev_cell=1.66 volume_a3_per_atom=8.79 spacegroup="No. 221" formation_enthalpy_0k_ev_per_atom=1.6728 pbc="T T T"
C 0.000 0.000 0.000
B -0.493 -0.625 1.575
B -0.344 1.643 0.544
B -1.659 -0.155 -0.580
Al -2.496 0.863 1.539